Entry 1:
Computed, not measured: an optimized crystal structure of CuOs2Ru at the PBE-GGA level of DFT.

abc: 4.6896 4.6896 2.6916
angles: 90.00 90.00 110.69
Element x y z (fractional)
Cu1 0.0000 0.5000 0.5000
Ru1 0.5000 0.0000 0.5000
Os1 0.5000 0.5000 0.0000
Os2 0.0000 0.0000 0.0000

Computed properties:
Distance to the lowest polymorph of the same formula = 200 meV per atom
Density = 16.34 g cm⁻³
Energy of formation = 0.408 eV per atom
SG = Cmmm (65)
Crystal system = orthorhombic
D(E_F) = 5.105 states/eV/cell
Total magnetic moment = 0.00 μB/f.u.

Entry 2:
Computed, not measured: an optimized crystal structure of URhPb2O6 at the PBE-GGA level of DFT.

abc: 4.9645 5.7796 6.2896
angles: 117.35 104.43 90.00
Site moments in Bohr magnetons follow the coordinates.
Element x y z (fractional)
Rh1 0.5000 0.0000 0.0000  0.71
Pb1 0.7835 0.7783 0.5566  0.01
O1 0.7204 0.3345 0.6690  0.01
O2 0.7879 0.8423 0.1634  0.06
O3 0.2796 0.6655 0.3310  0.01
Pb2 0.2165 0.2217 0.4434  0.01
O4 0.2121 0.1577 0.8366  0.06
U1 0.0000 0.5000 0.0000  0.01
O5 0.2121 0.6788 0.8366  0.06
O6 0.7879 0.3212 0.1634  0.06

Computed properties:
Density = 9.19 g cm⁻³
SG = C2/m (12)
Crystal system = monoclinic
D(E_F) = 4.914 states/eV/cell
Total magnetic moment = 1.05 μB/f.u.
Formation energy without anion corrections = -17.38 eV/f.u.

Which value of D(E_F) does entry 1 give? 5.105 states/eV/cell